Entry 1:
This record from Alexandria describes LiPaAs after structural relaxation. The functional is GGA-PBE.

- distance to the lowest polymorph of the same formula (eV per atom) = 0.432

a b c (Å): 3.877 3.877 8.378
angles (deg): 90.00 90.00 90.00
Space group I4mm (No. 107)
Unique sites:
Li  0.000  0.000  0.000 [2 per cell]
Pa  0.000  0.000  0.659 [2 per cell]
As  0.000  0.000  0.307 [2 per cell]

Entry 2:
This record from Alexandria describes LiErZnPb after structural relaxation. The functional is GGA-PBE.

a b c (Å): 7.105 7.105 7.105
angles (deg): 90.00 90.00 90.00
Space group F-43m (No. 216)
Unique sites:
Li  0.000  0.000  0.000 [4 per cell]
Er  0.000  0.000  0.500 [4 per cell]
Zn  0.250  0.250  0.250 [4 per cell]
Pb  0.250  0.250  0.750 [4 per cell]

Calculated total magnetization in order - 2.39; 0.00 μB/cell
Calculated energy relative to the elements in order - -0.15; -0.32 eV/atom